[1]
Compound: BaCuGe2Os
Source: Alexandria via LeMat-Bulk
Functional: PBEsol
Structure: relaxed

a = 4.5293 Å, b = 4.5293 Å, c = 5.3970 Å
α = 90.00°, β = 90.00°, γ = 90.00°
Space group P4/mmm (No. 123)
Unique sites:
Ba  0.0000  0.0000  0.0000 (multiplicity 1)
Cu  0.0000  0.0000  0.5000 (multiplicity 1)
Ge  0.0000  0.5000  0.5000 (multiplicity 2)
Os  0.5000  0.5000  0.0000 (multiplicity 1)

Computed properties:
Calculated total energy ... -0.34214 Ry/atom



[2]
Compound: BaCu2GeRu
Source: Alexandria via LeMat-Bulk
Functional: PBEsol
Structure: relaxed

a = 4.8382 Å, b = 4.8382 Å, c = 4.6034 Å
α = 90.00°, β = 90.00°, γ = 90.00°
Space group P4/mmm (No. 123)
Unique sites:
Ba  0.0000  0.0000  0.0000 (multiplicity 1)
Cu  0.0000  0.5000  0.5000 (multiplicity 2)
Ge  0.5000  0.5000  0.0000 (multiplicity 1)
Ru  0.5000  0.5000  0.5000 (multiplicity 1)

Computed properties:
Calculated total energy ... -0.37126 Ry/atom



[3]
Compound: BaCu2GeSe4
Source: Alexandria via LeMat-Bulk
Functional: PBEsol
Structure: relaxed

a = 6.4701 Å, b = 6.4701 Å, c = 16.1049 Å
α = 90.00°, β = 90.00°, γ = 120.00°
Space group P3_121 (No. 152)
Unique sites:
Ba  0.0000  0.4534  0.1667 (multiplicity 3)
Cu  0.0752  0.4325  0.9217 (multiplicity 6)
Ge  0.0000  0.2880  0.6667 (multiplicity 3)
Se  0.0378  0.5358  0.5507 (multiplicity 6)
Se  0.1085  0.7717  0.9969 (multiplicity 6)

Computed properties:
Calculated total energy ... -0.33806 Ry/atom



[4]
Compound: Ba2CuH6
Source: Alexandria via LeMat-Bulk
Functional: PBEsol
Structure: relaxed

a = 14.5948 Å, b = 5.6714 Å, c = 5.6708 Å
α = 90.00°, β = 90.00°, γ = 90.00°
Space group Cmce (No. 64)
Unique sites:
Ba  0.1405  0.0000  0.0000 (multiplicity 8)
Cu  0.0000  0.0000  0.5000 (multiplicity 4)
H  0.0000  0.2155  0.2845 (multiplicity 8)
H  0.1085  0.0000  0.5000 (multiplicity 8)
H  0.2500  0.2499  0.2500 (multiplicity 8)

Computed properties:
Calculated total energy ... -0.25652 Ry/atom



[5]
Compound: BaCu2P2H2O9
Source: Alexandria via LeMat-Bulk
Functional: PBEsol
Structure: relaxed

a = 5.1657 Å, b = 9.7124 Å, c = 14.5395 Å
α = 90.00°, β = 90.00°, γ = 90.00°
Space group P2_12_12_1 (No. 19)
Unique sites:
Ba  0.0073  0.0251  0.4636 (multiplicity 4)
Cu  0.0256  0.7514  0.2617 (multiplicity 4)
Cu  0.1092  0.9849  0.7175 (multiplicity 4)
P  0.0179  0.7734  0.8660 (multiplicity 4)
P  0.0249  0.6946  0.6222 (multiplicity 4)
H  0.0110  0.0839  0.0837 (multiplicity 4)
H  0.1448  0.4834  0.3501 (multiplicity 4)
O  0.0036  0.3524  0.8790 (multiplicity 4)
O  0.0084  0.0451  0.1477 (multiplicity 4)
O  0.0209  0.1299  0.9718 (multiplicity 4)
O  0.0565  0.8189  0.9647 (multiplicity 4)
O  0.0636  0.6151  0.8595 (multiplicity 4)
O  0.1886  0.1320  0.8099 (multiplicity 4)
O  0.2045  0.3493  0.1584 (multiplicity 4)
O  0.2299  0.8441  0.8022 (multiplicity 4)
O  0.2471  0.6817  0.1678 (multiplicity 4)

Computed properties:
Calculated total energy ... -0.48150 Ry/atom



[6]
Compound: BaV2Cu3H2O10
Source: Alexandria via LeMat-Bulk
Functional: PBEsol
Structure: relaxed

a = 10.1046 Å, b = 5.9010 Å, c = 7.7595 Å
α = 90.00°, β = 117.76°, γ = 90.00°
Space group C2/m (No. 12)
Unique sites:
Ba  0.0000  0.0000  0.0000 (multiplicity 2)
V  0.0824  0.5000  0.7702 (multiplicity 4)
Cu  0.0000  0.0000  0.5000 (multiplicity 2)
Cu  0.2500  0.2500  0.5000 (multiplicity 4)
H  0.2349  0.5000  0.2195 (multiplicity 4)
O  0.0267  0.2549  0.3161 (multiplicity 8)
O  0.1651  0.5000  0.0165 (multiplicity 4)
O  0.2109  0.0000  0.6255 (multiplicity 4)
O  0.2183  0.5000  0.6990 (multiplicity 4)

Computed properties:
Calculated total energy ... -0.50322 Ry/atom



Question: The highest calculated total energy belongs to which entry?
Answer: Ba2CuH6